First-principles (PBE) data for an optimized crystal structure of BeZn2Ir, as listed in the Alexandria database.

abc: 4.8459 4.8459 4.8459
angles: 143.49 129.91 63.55
Fractional coordinates of all 4 atoms:
1 Be 0.4885 0.4885 0.0000
2 Zn 0.0045 0.0045 0.0000
3 Zn 0.7293 0.2293 0.5000
4 Ir 0.2777 0.7777 0.5000

Properties
energy of formation from the pure elements = -0.217 eV per atom
space-group type = Imm2, No. 44